MnSbOsO | Alexandria | GGA+U | relaxed; excess energy over the best structure of this formula in the dataset = 0.16 eV per formula unit; raw total energy = -0.2644 Ha/atom; DOS(E_F) = 1.05 states/eV/f.u.
1.0
-2.781 -0.047 -1.554
1.394 -1.696 -2.442
-1.585 -7.342 -0.204
Mn Sb Os O
1 1 1 1
direct
0.727 0.796 0.780
0.481 0.304 0.275
0.080 0.002 0.076
0.330 0.006 0.574